# 1
Density functional theory data (PBE) for a geometry-optimized GaFeHgW structure.

Geometry as POSCAR:
```
GaFeHgW
1.0
0.0000 3.1790 3.1790
3.1790 0.0000 3.1790
3.1790 3.1790 0.0000
Hg Fe W Ga
1 1 1 1
Direct
0.2500 0.2500 0.2500
0.7500 0.7500 0.7500
0.5000 0.5000 0.5000
0.0000 0.0000 0.0000
```

- ΔE to the lowest computed polymorph: 0.050 eV per atom
- Total magnetic moment: 0.97 μB per formula unit



# 2
Density functional theory data (PBE) for a geometry-optimized RbLuO3 structure.

Geometry as POSCAR:
```
RbLuO3
1.0
3.0724 -1.7738 -5.0853
-3.0724 -1.7738 -5.0853
0.0000 3.5477 -5.0853
O Rb Lu
6 2 2
Direct
0.2500 0.7451 0.7549
0.7500 0.2549 0.2451
0.7451 0.7549 0.2500
0.2549 0.2451 0.7500
0.7549 0.2500 0.7451
0.2451 0.7500 0.2549
0.7500 0.7500 0.7500
0.2500 0.2500 0.2500
0.5000 0.5000 0.5000
0.0000 0.0000 0.0000
```

- Electronic total energy: -60.1 eV for the cell shown
- Total magnetic moment: 2.00 μB per formula unit



# 3
Density functional theory data (PBE) for a geometry-optimized Ga2Cu7 structure.

Geometry as POSCAR:
```
Ga2Cu7
1.0
2.5218 0.0000 0.0000
-1.2609 2.1839 0.0000
0.0000 0.0000 24.6594
Cu Ga
7 2
Direct
0.0000 0.0000 0.3328
0.3333 0.6667 0.2472
0.6667 0.3333 0.4166
0.3333 0.6667 0.7529
0.0000 0.0000 0.5833
0.6667 0.3333 0.6671
0.3333 0.6667 0.5000
0.0000 0.0000 0.8463
0.6667 0.3333 0.1538
```

- Electronic total energy: -31.2 eV for the cell shown



# 4
Density functional theory data (PBE) for a geometry-optimized TlAgTe structure.

Geometry as POSCAR:
```
TlAgTe
1.0
9.0553 0.0000 0.0000
-4.5277 7.8422 0.0000
0.0000 0.0000 4.7560
Tl Ag Te
3 3 3
Direct
0.3333 0.6667 0.5000
0.6667 0.3333 0.5000
0.0000 0.0000 0.0000
0.4167 0.0000 0.0000
0.5833 0.5833 0.0000
0.0000 0.4167 0.0000
0.7193 0.7193 0.5000
0.2807 0.0000 0.5000
0.0000 0.2807 0.5000
```

- ΔE to the lowest computed polymorph: 0.278 eV per atom



# 5
Density functional theory data (PBE) for a geometry-optimized HoTmTh structure.

Geometry as POSCAR:
```
HoTmTh
1.0
0.0000 3.8050 3.8050
3.8050 0.0000 3.8050
3.8050 3.8050 0.0000
Tm Th Ho
1 1 1
Direct
0.0000 0.0000 0.0000
0.7500 0.7500 0.7500
0.2500 0.2500 0.2500
```

- Energy of formation from the pure elements: 18.35 kcal/mol of atoms
- ΔE to the lowest computed polymorph: 0.000 eV per atom
- Total magnetic moment: 0.00 μB per formula unit



# 6
Density functional theory data (PBE) for a geometry-optimized Ho2TmAl3AgIr2 structure.

Geometry as POSCAR:
```
Ho2TmAl3AgIr2
1.0
4.0148 0.0000 0.0000
0.0000 6.1411 3.5673
0.0000 -6.1411 3.5673
Ho Al Tm Ir Ag
2 3 1 2 1
Direct
0.0000 0.0002 0.4186
0.0000 0.4186 0.0002
0.5000 0.0002 0.7409
0.5000 0.2590 0.2590
0.5000 0.7409 0.0002
0.0000 0.5818 0.5818
0.5000 0.6658 0.3358
0.5000 0.3358 0.6658
0.0000 0.9977 0.9977
```

- Electronic total energy: -52.0 eV for the cell shown
- Total magnetic moment: 0.01 μB per formula unit



# 7
Density functional theory data (PBE) for a geometry-optimized LuCdFeB structure.

Geometry as POSCAR:
```
LuCdFeB
1.0
0.0000 3.1741 3.1741
3.1741 0.0000 3.1741
3.1741 3.1741 0.0000
B Fe Cd Lu
1 1 1 1
Direct
0.0000 0.0000 0.0000
0.7500 0.7500 0.7500
0.5000 0.5000 0.5000
0.2500 0.2500 0.2500
```

- ΔE to the lowest computed polymorph: 0.000 eV per atom
- Total magnetic moment: 2.34 μB per formula unit



# 8
Density functional theory data (PBE) for a geometry-optimized Al3Mo2W4C3 structure.

Geometry as POSCAR:
```
Al3Mo2W4C3
1.0
0.1397 5.2189 0.3194
-0.5476 2.3535 4.6390
13.5905 -3.0047 0.1692
W Al C Mo
8 6 6 4
Direct
0.8608 0.6966 0.0892
0.8010 0.9727 0.9108
0.9727 0.8010 0.4108
0.1990 0.0273 0.0892
0.6966 0.8608 0.5892
0.1392 0.3034 0.9108
0.3034 0.1392 0.4108
0.0273 0.1990 0.5892
0.9199 0.0801 0.2500
0.2468 0.4165 0.2497
0.5835 0.7532 0.2503
0.4165 0.2468 0.7497
0.0801 0.9199 0.7500
0.7532 0.5835 0.7503
0.3323 0.8357 0.5000
0.1643 0.6677 0.0000
0.0000 0.5000 0.5000
0.6677 0.1643 0.5000
0.5000 0.0000 0.0000
0.8357 0.3323 0.0000
0.5312 0.3667 0.0923
0.4688 0.6333 0.9077
0.6333 0.4688 0.4077
0.3667 0.5312 0.5923
```

- Electronic total energy: -225.9 eV for the cell shown
- Total magnetic moment: 0.00 μB per formula unit



# 9
Density functional theory data (PBE) for a geometry-optimized ZnCuHgAs structure.

Geometry as POSCAR:
```
ZnCuHgAs
1.0
0.0000 3.2736 3.2736
3.2736 0.0000 3.2736
3.2736 3.2736 0.0000
Hg Zn Cu As
1 1 1 1
Direct
0.5000 0.5000 0.5000
0.2500 0.2500 0.2500
0.7500 0.7500 0.7500
0.0000 0.0000 0.0000
```

- ΔE to the lowest computed polymorph: 0.000 eV per atom



# 10
Density functional theory data (PBE) for a geometry-optimized RbCuSnTe2S structure.

Geometry as POSCAR:
```
RbCuSnTe2S
1.0
-0.4936 5.5914 -5.7398
-2.6877 -3.3452 6.7852
6.7580 6.7719 6.0156
Rb Te S Cu Sn
2 4 2 2 2
Direct
0.7896 0.2104 0.7500
0.2104 0.7896 0.2500
0.1350 0.8650 0.9468
0.1350 0.8650 0.5532
0.8650 0.1350 0.4468
0.8650 0.1350 0.0532
0.4669 0.5331 0.7500
0.5331 0.4669 0.2500
0.9597 0.0403 0.2500
0.0403 0.9597 0.7500
0.5000 0.5000 0.5000
0.5000 0.5000 0.0000
```

- Electronic total energy: -43.1 eV for the cell shown



# 11
Density functional theory data (PBE) for a geometry-optimized CoAg2Cl4 structure.

Geometry as POSCAR:
```
CoAg2Cl4
1.0
-5.5188 -0.6896 -3.3871
-0.2091 -6.3844 -1.2652
-4.0652 -1.2291 6.8739
Ag Co Cl
4 2 8
Direct
0.0227 0.4773 0.2500
0.9773 0.5227 0.7500
0.5227 0.9773 0.2500
0.4773 0.0227 0.7500
0.0000 0.0000 0.5000
0.5000 0.5000 0.0000
0.2708 0.2708 0.0000
0.3064 0.6936 0.7896
0.8064 0.1936 0.7104
0.6936 0.3064 0.2104
0.1936 0.8064 0.2896
0.2292 0.2292 0.5000
0.7708 0.7708 0.5000
0.7292 0.7292 0.0000
```

- Electronic total energy: -45.9 eV for the cell shown
- Total magnetic moment: 3.01 μB per formula unit



# 12
Density functional theory data (PBE) for a geometry-optimized AlNi2Pt2 structure.

Geometry as POSCAR:
```
AlNi2Pt2
1.0
-1.3992 0.5257 -2.9380
-1.9194 -2.6433 0.4411
-2.8523 4.8052 4.0674
Ni Pt Al
2 2 1
Direct
0.7500 0.2500 0.5000
0.2500 0.7500 0.5000
0.6013 0.6013 0.2025
0.3987 0.3987 0.7975
0.0000 0.0000 0.0000
```

- ΔE to the lowest computed polymorph: 0.000 eV per atom
- Total magnetic moment: 0.97 μB per formula unit